Here is Co2TeRh after structural relaxation from Alexandria via LeMat-Bulk. Energies are from PBE.

a = 3.860 Å, b = 3.860 Å, c = 3.702 Å
α = 90.00°, β = 90.00°, γ = 90.00°
Sites, in units of the cell vectors:
Co: 0.000 0.000 0.000
Co: 0.500 0.500 0.000
Rh: 0.500 0.000 0.500
Te: 0.000 0.500 0.500

Computed properties:
Formation energy from raw total energies (eV/atom): 0.139
VASP energy (eV per cell): -24.15
Symmetry: P4/mmm, No. 123